Record 1
First-principles (GGA-PBE) data for crystalline SrLa2Tl3Te6 at its relaxed geometry, as listed in Alexandria via LeMat-Bulk.

```
SrLa2Tl3Te6
1.0
-2.272 -3.729 -1.675
7.820 -5.447 1.519
-4.407 1.259 9.701
Tl Te La Sr
3 6 2 1
direct
0.164 0.832 0.328 Tl
0.836 0.168 0.672 Tl
0.500 0.500 0.000 Tl
0.334 0.901 0.669 Te
0.672 0.566 0.343 Te
0.328 0.434 0.657 Te
0.666 0.099 0.331 Te
0.991 0.750 0.983 Te
0.009 0.250 0.017 Te
0.167 0.330 0.335 La
0.833 0.670 0.665 La
0.500 0.000 0.000 Sr
```

**E**: -50.144 eV/f.u.
**Formation energy (no corrections)**: -1055 meV per atom
**Calculated density**: 6.35 Mg/m³



Record 2
First-principles (GGA-PBE) data for crystalline Ta4AlAs at its relaxed geometry, as listed in Alexandria via LeMat-Bulk.

```
Ta4AlAs
1.0
-3.330 1.138 4.202
0.003 5.011 2.220
-4.297 3.324 -0.730
Ta Al As
4 1 1
direct
0.376 0.376 0.871 Ta
0.871 0.376 0.376 Ta
0.376 0.871 0.376 Ta
0.376 0.376 0.376 Ta
0.750 0.750 0.750 Al
0.000 0.000 0.000 As
```

**Formation energy from the elements**: 464 meV/atom
**E**: -53.021 eV/f.u.
**Calculated density**: 11.77 Mg/m³



Record 3
First-principles (GGA-PBE) data for crystalline AgS4Cl2 at its relaxed geometry, as listed in Alexandria via LeMat-Bulk.

```
AgS4Cl2
1.0
-0.908 4.154 2.634
-1.871 2.187 -4.090
-5.267 -5.721 2.427
S Cl Ag
4 2 1
direct
0.324 0.324 0.069 S
0.324 0.745 0.069 S
0.745 0.745 0.069 S
0.745 0.324 0.069 S
0.786 0.286 0.572 Cl
0.286 0.786 0.572 Cl
0.790 0.790 0.581 Ag
```

**E**: -22.366 eV/f.u.
**Formation energy (no corrections)**: 98 meV per atom
**Calculated density**: 2.78 Mg/m³



Record 4
First-principles (GGA-PBE) data for crystalline MoHOs2W at its relaxed geometry, as listed in Alexandria via LeMat-Bulk.

```
MoHOs2W
1.0
3.954 0.000 0.000
0.000 3.954 0.000
0.000 0.000 4.002
H Os W Mo
1 2 1 1
direct
0.000 0.000 0.000 H
0.500 0.000 0.000 Os
0.000 0.500 0.000 Os
0.500 0.500 0.500 W
0.000 0.000 0.500 Mo
```

**E**: -49.090 eV/f.u.
**Calculated density**: 17.55 Mg/m³
**E above lowest polymorph**: 0.000 eV per atom